Entry P
# CoSb2TePt, relaxed, DFT PBE
# total magnetic moment: 0.40 μB/atom
# calculated volume: 162 Å³/cell
data_CoSb2TePt
_cell_length_a 5.7611
_cell_length_b 4.8760
_cell_length_c 5.7611
_cell_angle_alpha 90.00
_cell_angle_beta 90.00
_cell_angle_gamma 90.00
_space_group_name_H-M_alt 'P 1'
_space_group_IT_number 1
loop_
_space_group_symop_operation_xyz
'x,y,z'
loop_
_atom_site_label
_atom_site_fract_x
_atom_site_fract_y
_atom_site_fract_z
Sb1 0.0000 0.0000 0.5000
Sb2 0.5000 0.0000 0.0000
Te1 0.0000 0.0000 0.0000
Co1 0.5000 0.5000 0.5000
Pt1 0.0000 0.5000 0.0000



Entry Q
# CoSb2TePt, relaxed, DFT PBE
# total magnetic moment: 0.00 μB/atom
# calculated volume: 115 Å³/cell
data_CoSb2TePt
_cell_length_a 4.7576
_cell_length_b 4.7576
_cell_length_c 5.0936
_cell_angle_alpha 90.00
_cell_angle_beta 90.00
_cell_angle_gamma 90.00
_space_group_name_H-M_alt 'P 1'
_space_group_IT_number 1
loop_
_space_group_symop_operation_xyz
'x,y,z'
loop_
_atom_site_label
_atom_site_fract_x
_atom_site_fract_y
_atom_site_fract_z
Sb1 0.0000 0.5000 0.0000
Sb2 0.5000 0.0000 0.0000
Te1 0.0000 0.0000 0.5000
Co1 0.0000 0.0000 0.0000
Pt1 0.5000 0.5000 0.5000



Stability, highest: entry Q